(1)
A geometry-optimized TaTeC3 structure. Source: Alexandria via LeMat-Bulk, functional PBE.

Crystal system: cubic
Offset from the most stable computed form in eV/atom: 0.000
DFT total energy in eV/atom: -6.5749
Raw formation energy in kJ/mol of atoms: 188.95
Space group: Pm-3m, No. 221

Lattice parameters (Å, degrees): 4.262 4.262 4.262 90.00 90.00 90.00
Fractional positions:
C (0.000, 0.500, 0.000)
C (0.000, 0.000, 0.500)
C (0.500, 0.000, 0.000)
Ta (0.000, 0.000, 0.000)
Te (0.500, 0.500, 0.500)

(2)
A geometry-optimized Sm2ScP3Ir12 structure. Source: Alexandria via LeMat-Bulk, functional PBE.

Crystal system: trigonal
DFT total energy in eV/atom: -7.8086
ΔE_f in meV per atom: -124
Space group: R-3m, No. 166

Lattice parameters (Å, degrees): 6.761 6.761 6.761 84.19 84.19 84.19
Fractional positions:
Ir (0.375, 0.375, 0.896)
Ir (0.174, 0.675, 0.174)
Ir (0.325, 0.826, 0.826)
Ir (0.826, 0.325, 0.826)
Ir (0.826, 0.826, 0.325)
Ir (0.104, 0.625, 0.625)
Ir (0.174, 0.174, 0.675)
Ir (0.625, 0.625, 0.104)
Ir (0.675, 0.174, 0.174)
Ir (0.896, 0.375, 0.375)
Ir (0.375, 0.896, 0.375)
Ir (0.625, 0.104, 0.625)
Sm (0.367, 0.367, 0.367)
Sm (0.633, 0.633, 0.633)
P (0.000, 0.500, 0.000)
P (0.500, 0.000, 0.000)
P (0.000, 0.000, 0.500)
Sc (0.000, 0.000, 0.000)

(3)
A geometry-optimized LaIr2Ru structure. Source: Alexandria via LeMat-Bulk, functional PBE.

Crystal system: monoclinic
Offset from the most stable computed form in eV/atom: 0.102
DFT total energy in eV/atom: -7.8716
ΔE_f in meV per atom: 110
Space group: P2/m, No. 10

Lattice parameters (Å, degrees): 4.713 2.913 5.445 75.92 90.00 90.00
Fractional positions:
Ir (0.000, 0.898, 0.959)
Ir (0.000, 0.602, 0.541)
Ru (0.500, 0.750, 0.750)
La (0.500, 0.250, 0.250)

(4)
A geometry-optimized Nb3Ga2Cl9 structure. Source: Alexandria via LeMat-Bulk, functional PBE.

Crystal system: monoclinic
DFT total energy in eV/atom: -4.8929
Raw formation energy in kJ/mol of atoms: -107.64
Space group: C2/m, No. 12

Lattice parameters (Å, degrees): 9.542 9.542 9.753 74.54 74.54 108.55
Fractional positions:
Cl (0.668, 0.892, 0.969)
Cl (0.999, 0.429, 0.337)
Cl (0.241, 0.241, 0.726)
Cl (0.276, 0.724, 0.000)
Cl (0.203, 0.203, 0.345)
Cl (0.797, 0.797, 0.655)
Cl (0.571, 0.001, 0.663)
Cl (0.626, 0.403, 0.685)
Cl (0.403, 0.626, 0.685)
Cl (0.892, 0.668, 0.969)
Cl (0.332, 0.108, 0.031)
Cl (0.429, 0.999, 0.337)
Cl (0.001, 0.571, 0.663)
Cl (0.759, 0.759, 0.274)
Cl (0.597, 0.374, 0.315)
Cl (0.108, 0.332, 0.031)
Cl (0.374, 0.597, 0.315)
Cl (0.724, 0.276, 0.000)
Ga (0.973, 0.281, 0.656)
Ga (0.281, 0.973, 0.656)
Ga (0.719, 0.027, 0.344)
Ga (0.027, 0.719, 0.344)
Nb (0.530, 0.719, 0.854)
Nb (0.470, 0.281, 0.146)
Nb (0.386, 0.386, 0.879)
Nb (0.281, 0.470, 0.146)
Nb (0.719, 0.530, 0.854)
Nb (0.614, 0.614, 0.121)

(5)
A geometry-optimized Li6Br2N structure. Source: Alexandria via LeMat-Bulk, functional PBE.

Crystal system: monoclinic
DFT total energy in eV/atom: -3.2767
Raw formation energy in kJ/mol of atoms: -67.92
Space group: C2/m, No. 12

Lattice parameters (Å, degrees): 5.176 6.316 6.671 118.25 73.15 90.00
Fractional positions:
Li (0.740, 0.834, 0.122)
Li (0.260, 0.166, 0.878)
Li (0.740, 0.288, 0.122)
Li (0.260, 0.712, 0.878)
Li (0.100, 0.145, 0.290)
Li (0.900, 0.855, 0.710)
Br (0.840, 0.371, 0.742)
Br (0.160, 0.629, 0.258)
N (0.000, 0.000, 0.000)

(6)
A geometry-optimized Tm4In2N structure. Source: Alexandria via LeMat-Bulk, functional PBE.

Crystal system: tetragonal
DFT total energy in eV/atom: -5.2790
Raw formation energy in kJ/mol of atoms: -72.57
Space group: I4/mmm, No. 139

Lattice parameters (Å, degrees): 4.665 4.665 8.505 74.08 74.08 90.00
Fractional positions:
Tm (0.000, 0.500, 0.000)
Tm (0.161, 0.161, 0.677)
Tm (0.839, 0.839, 0.323)
Tm (0.500, 0.000, 0.000)
In (0.638, 0.638, 0.724)
In (0.362, 0.362, 0.276)
N (0.000, 0.000, 0.000)

(7)
A geometry-optimized Pr5CdSb2 structure. Source: Alexandria via LeMat-Bulk, functional PBE.

Crystal system: orthorhombic
DFT total energy in eV/atom: -4.5231
Raw formation energy in kJ/mol of atoms: -37.71
Space group: Cmcm, No. 63

Lattice parameters (Å, degrees): 6.049 6.567 15.687 90.00 90.00 117.43
Fractional positions:
Pr (0.078, 0.157, 0.393)
Pr (0.648, 0.295, 0.250)
Pr (0.352, 0.705, 0.750)
Pr (0.381, 0.763, 0.058)
Pr (0.619, 0.237, 0.942)
Pr (0.078, 0.157, 0.107)
Pr (0.619, 0.237, 0.558)
Pr (0.381, 0.763, 0.442)
Pr (0.922, 0.843, 0.893)
Pr (0.922, 0.843, 0.607)
Sb (0.805, 0.609, 0.089)
Sb (0.805, 0.609, 0.411)
Sb (0.195, 0.391, 0.911)
Sb (0.195, 0.391, 0.589)
Cd (0.687, 0.375, 0.750)
Cd (0.313, 0.625, 0.250)

(8)
A geometry-optimized AlTlIn2 structure. Source: Alexandria via LeMat-Bulk, functional PBE.

Crystal system: monoclinic
Offset from the most stable computed form in eV/atom: 0.065
DFT total energy in eV/atom: -2.7381
ΔE_f in meV per atom: 158
Space group: Pm, No. 6

Lattice parameters (Å, degrees): 5.170 3.294 6.425 71.62 90.00 90.00
Fractional positions:
In (0.500, 0.201, 0.223)
In (0.000, 0.798, 0.007)
Tl (0.000, 0.558, 0.532)
Al (0.500, 0.942, 0.738)

(9)
A geometry-optimized Ac8IrPt2Rh structure. Source: Alexandria via LeMat-Bulk, functional PBE.

Crystal system: monoclinic
DFT total energy in eV/atom: -5.7745
ΔE_f in meV per atom: -678
Space group: P2/m, No. 10

Lattice parameters (Å, degrees): 7.249 7.118 8.868 90.00 90.00 90.36
Fractional positions:
Ac (0.828, 0.222, 0.250)
Ac (0.327, 0.263, 0.500)
Ac (0.324, 0.264, 0.000)
Ac (0.172, 0.778, 0.750)
Ac (0.673, 0.737, 0.500)
Ac (0.828, 0.222, 0.750)
Ac (0.676, 0.736, 0.000)
Ac (0.172, 0.778, 0.250)
Pt (0.500, 0.500, 0.251)
Pt (0.500, 0.500, 0.749)
Ir (0.000, 0.000, 0.000)
Rh (0.000, 0.000, 0.500)

(10)
A geometry-optimized ReSb2ICl structure. Source: Alexandria via LeMat-Bulk, functional PBE.

Crystal system: tetragonal
Offset from the most stable computed form in eV/atom: 1.282
DFT total energy in eV/atom: -3.0775
Raw formation energy in kJ/mol of atoms: 167.93
Space group: P4/mmm, No. 123

Lattice parameters (Å, degrees): 5.377 5.377 5.327 90.00 90.00 90.00
Fractional positions:
Cl (0.000, 0.000, 0.000)
I (0.000, 0.000, 0.500)
Sb (0.000, 0.500, 0.000)
Sb (0.500, 0.000, 0.000)
Re (0.500, 0.500, 0.500)

(11)
A geometry-optimized Sm2NiGe4Pd3 structure. Source: Alexandria via LeMat-Bulk, functional PBE.

Crystal system: tetragonal
DFT total energy in eV/atom: -5.6801
ΔE_f in meV per atom: -753
Space group: P-4m2, No. 115

Lattice parameters (Å, degrees): 4.267 4.267 10.240 90.00 90.00 90.00
Fractional positions:
Pd (0.500, 0.000, 0.864)
Pd (0.000, 0.000, 0.500)
Pd (0.000, 0.500, 0.136)
Ge (0.500, 0.000, 0.623)
Ge (0.500, 0.500, 0.000)
Ge (0.000, 0.500, 0.377)
Ge (0.000, 0.000, 0.000)
Ni (0.500, 0.500, 0.500)
Sm (0.500, 0.000, 0.256)
Sm (0.000, 0.500, 0.744)

(12)
A geometry-optimized MnCuW2 structure. Source: Alexandria via LeMat-Bulk, functional PBE.

Crystal system: tetragonal
Offset from the most stable computed form in eV/atom: 0.061
DFT total energy in eV/atom: -9.4959
ΔE_f in meV per atom: 297
Space group: I4/mmm, No. 139

Lattice parameters (Å, degrees): 4.609 4.609 4.609 130.59 130.59 72.46
Fractional positions:
W (0.000, 0.000, 0.000)
W (0.500, 0.500, 0.000)
Mn (0.750, 0.250, 0.500)
Cu (0.250, 0.750, 0.500)